First-principles (PBE) data for a relaxed Ho2Ni4Sn3 crystal, as listed in Alexandria via LeMat-Bulk.

Values from the calculation:
E_tot, eV per atom: -5.381
E_form, eV/atom: -0.4599
Density, g/cm³: 9.30

```
Ho2Ni4Sn3
1.0
2.960 -7.997 0.000
2.960 7.997 0.000
0.000 0.000 6.944
Ho Ni Sn
4 8 6
direct
0.102 0.898 0.913 Ho
0.398 0.602 0.413 Ho
0.602 0.398 0.587 Ho
0.898 0.102 0.087 Ho
0.163 0.837 0.511 Ni
0.176 0.324 0.750 Ni
0.324 0.176 0.250 Ni
0.337 0.663 0.011 Ni
0.663 0.337 0.989 Ni
0.676 0.824 0.750 Ni
0.824 0.676 0.250 Ni
0.837 0.163 0.489 Ni
0.000 0.000 0.500 Sn
0.011 0.489 0.750 Sn
0.489 0.011 0.250 Sn
0.500 0.500 0.000 Sn
0.511 0.989 0.750 Sn
0.989 0.511 0.250 Sn
```